(1)
Density functional theory data (PBE) for a relaxed LaYThCd crystal.

Results
**Size of the total moment**: 0.000 Bohr magnetons per cell
**ΔH_f (0 K)**: -0.17 eV per atom
**Raw total energy**: -5.11 eV/atom

abc: 3.653 3.653 9.103
angles: 90.00 90.00 90.00
Positions (direct):
La 0.000 0.000 0.000
Y 0.000 0.000 0.468
Th 0.500 0.500 0.729
Cd 0.500 0.500 0.252

***

(2)
Density functional theory data (PBE) for a relaxed MgUPa crystal.

Results
**Size of the total moment**: 1.332 Bohr magnetons per cell
**ΔH_f (0 K)**: 0.40 eV per atom
**Raw total energy**: -7.06 eV/atom

abc: 5.953 5.953 8.564
angles: 102.60 102.60 28.33
Positions (direct):
Mg 0.136 0.136 0.014
Mg 0.864 0.864 0.986
U 0.197 0.197 0.642
U 0.803 0.803 0.358
Pa 0.044 0.044 0.343
Pa 0.956 0.956 0.657

***

(3)
Density functional theory data (PBE) for a relaxed NaTaIO2 crystal.

Results
**Size of the total moment**: 0.000 Bohr magnetons per cell
**Formation energy from raw total energies**: -1.6240 eV/atom
**Raw total energy**: -6.55 eV/atom

abc: 4.023 4.023 6.069
angles: 90.00 90.00 90.00
Positions (direct):
Na 0.000 0.000 0.000
Ta 0.500 0.500 0.500
I 0.500 0.500 0.000
O 0.000 0.500 0.500
O 0.500 0.000 0.500

***

(4)
Density functional theory data (PBE) for a relaxed CdRhW2 crystal.

Results
**Size of the total moment**: 0.000 Bohr magnetons per cell
**ΔH_f (0 K)**: 0.32 eV per atom
**Raw total energy**: -8.23 eV/atom

abc: 5.368 5.368 5.368
angles: 144.71 132.32 60.69
Positions (direct):
Cd 0.000 0.000 0.000
Rh 0.500 0.500 0.000
W 0.257 0.757 0.500
W 0.743 0.243 0.500